Computed, not measured: a geometry-optimized Er5Hg6 structure at the PBE-GGA level of DFT.

abc: 5.1244 7.3593 8.9347
angles: 114.32 106.17 90.00
Last column: nearest neighbours and their distance in Å.
Positions (direct):
1 Er 0.6696 0.6700 0.3398  8 Hg 3.14-3.18
2 Er 0.0000 0.5000 0.0000  8 Hg 3.12-3.17
3 Er 0.6560 0.1547 0.3092  8 Hg 3.06-3.35
4 Er 0.3304 0.3300 0.6602  8 Hg 3.14-3.18
5 Er 0.3440 0.8453 0.6908  8 Hg 3.06-3.35
6 Hg 0.5000 0.7426 0.0000  6 Er 3.06-3.18
7 Hg 0.8342 0.5860 0.6688  7 Er 3.14-3.35
8 Hg 0.5000 0.2574 0.0000  6 Er 3.06-3.18
9 Hg 0.8342 0.0827 0.6688  7 Er 3.14-3.35
10 Hg 0.1658 0.4140 0.3312  7 Er 3.14-3.35
11 Hg 0.1658 0.9173 0.3312  7 Er 3.14-3.35

## Properties
DFT formation energy = -387 meV/atom
symmetry = C2/m (12)
calculated total energy = -2.63 eV/atom
spin magnetization = 0.0 μB per formula unit